Material: Tb9PmTh2
Method: DFT, PBE
State: optimized geometry

It has space group P4/mmm (No. 123), with a = 5.047 Å, b = 5.047 Å, c = 15.126 Å, α = 90.00°, β = 90.00° and γ = 90.00°. Symmetry generates all atoms from Tb at (0.000, 0.000, 0.000), Tb at (0.000, 0.000, 0.334), Tb at (0.000, 0.500, 0.170), Tb at (0.000, 0.500, 0.500), Pm at (0.500, 0.500, 0.000) and Th at (0.500, 0.500, 0.334).

Its energy is -5.0749 eV/atom.

Material: NpVBi
Method: DFT, PBE
State: optimized geometry

It has space group Pm (No. 6), with a = 4.996 Å, b = 4.674 Å, c = 6.436 Å, α = 90.00°, β = 112.76° and γ = 90.00°. Symmetry generates all atoms from Np at (0.000, 0.000, 0.000), Np at (0.074, 0.500, 0.149), V at (0.556, 0.250, 0.074), Bi at (0.107, 0.500, 0.669) and Bi at (0.513, 0.000, 0.480).

Its energy is -8.1342 eV/atom.

Material: Ba12Hg3Ir5
Method: DFT, PBE
State: optimized geometry

It has space group Ia-3d (No. 230), with a = 19.214 Å, b = 19.214 Å, c = 19.214 Å, α = 90.00°, β = 90.00° and γ = 90.00°. Symmetry generates all atoms from Ba at (0.032, 0.057, 0.648), Hg at (0.000, 0.250, 0.125), Ir at (0.000, 0.000, 0.000) and Ir at (0.000, 0.250, 0.375).

Its energy is -3.4491 eV/atom.

Material: Cs3Bi2F9
Method: DFT, PBE
State: optimized geometry

It has space group R-3c (No. 167, hexagonal axes), with a = 12.0045 Å, b = 12.0045 Å, c = 15.1573 Å, α = 90.00°, β = 90.00° and γ = 120.00°. Symmetry generates all atoms from Cs at (0.9997, 0.3333, 0.0833), Bi at (0.0000, 0.0000, 0.1350), F at (0.0000, 0.1339, 0.2500) and F at (0.0149, 0.1806, 0.9162).

Its energy is -4.5338 eV/atom. The formation energy from raw total energies comes out at -2.594 eV per atom.

Material: La3Tb2Ho6Pu
Method: DFT, PBE
State: optimized geometry

It has space group C2/m (No. 12), with a = 6.196 Å, b = 10.739 Å, c = 11.749 Å, α = 90.00°, β = 100.14° and γ = 90.00°. Symmetry generates all atoms from La at (0.000, 0.000, 0.000), La at (0.000, 0.333, 0.000), Tb at (0.000, 0.167, 0.500), Ho at (0.245, 0.336, 0.743), Ho at (0.248, 0.500, 0.257) and Pu at (0.000, 0.500, 0.500).

Its energy is -5.4420 eV/atom.

Material: FeSbSe2
Method: DFT, PBE
State: optimized geometry

It has space group P4/mmm (No. 123), with a = 3.294 Å, b = 3.294 Å, c = 7.211 Å, α = 90.00°, β = 90.00° and γ = 90.00°. Symmetry generates all atoms from Fe at (0.000, 0.000, 0.000), Sb at (0.000, 0.000, 0.500) and Se at (0.500, 0.500, 0.204).

Its energy is -4.6571 eV/atom. The formation energy from raw total energies comes out at 0.231 eV per atom.

Theoretical density for every record listed, in sequence, given in g cm⁻³: 8.79; 11.91; 6.01; 5.20; 8.49; 7.12.